No. 1
A plane-wave DFT calculation with PBE was carried out for crystalline KYZr at its relaxed geometry.

Calculated values
* crystal system: triclinic
* ΔE to the lowest computed polymorph: 235 meV per atom
* E: -4.97 eV/atom
* DFT formation energy: 399 meV/atom

Unit cell a=3.3734 b=5.8225 c=12.2378 alpha=84.78 beta=83.49 gamma=73.98
Closest atoms and distances in Å follow each position.
Fractional positions:
1 K 0.0000 0.0000 0.0000  2 K 3.37
2 K 0.0186 0.4668 0.2493  2 K 3.37
3 Y 0.2771 0.9231 0.4573  3 Zr 3.37-3.46, 4 Y 3.37-3.39
4 Y 0.6482 0.9816 0.6957  6 Zr 3.23-3.41, 4 Y 3.37-3.39
5 Zr 0.3372 0.5111 0.7874  4 Zr 3.02-3.37, 3 Y 3.23-3.27
6 Zr 0.9484 0.4611 0.5833  4 Zr 3.02-3.37, 4 Y 3.29-3.38

No. 2
A plane-wave DFT calculation with PBE was carried out for crystalline LaSm2OsC2 at its relaxed geometry.

Calculated values
* crystal system: orthorhombic
* E: -7.44 eV/atom
* DFT formation energy: -100 meV/atom

Unit cell a=5.7950 b=11.3036 c=3.9231 alpha=90.00 beta=90.00 gamma=90.00
Closest atoms and distances in Å follow each position.
Fractional positions:
1 La 0.0000 0.0000 0.0000  4 C 2.79
2 La 0.5000 0.5000 0.5000  4 C 2.79
3 Sm 0.0255 0.2968 0.5000  3 C 2.54-2.57
4 Sm 0.4745 0.7968 0.0000  3 C 2.54-2.57
5 Sm 0.5255 0.2032 0.0000  3 C 2.54-2.57
6 Sm 0.9745 0.7032 0.5000  3 C 2.54-2.57
7 Os 0.0000 0.5000 0.0000  2 C 1.97
8 Os 0.5000 0.0000 0.5000  2 C 1.97
9 C 0.2485 0.3812 0.0000  1 Os 1.97
10 C 0.2515 0.8812 0.5000  1 Os 1.97
11 C 0.7485 0.1188 0.5000  1 Os 1.97
12 C 0.7515 0.6188 0.0000  1 Os 1.97

No. 3
A plane-wave DFT calculation with PBE was carried out for crystalline YHgP2Cl at its relaxed geometry.

Calculated values
* crystal system: tetragonal
* ΔE to the lowest computed polymorph: 0 meV per atom
* E: -3.92 eV/atom

Unit cell a=5.4645 b=5.4645 c=5.2395 alpha=90.00 beta=90.00 gamma=90.00
Closest atoms and distances in Å follow each position.
Fractional positions:
1 Y 0.0000 0.0000 0.0000  2 Cl 2.62, 4 P 2.73
2 Hg 0.5000 0.5000 0.5000  8 P 3.79, 4 Cl 3.86
3 P 0.0000 0.5000 0.0000  2 Y 2.73
4 P 0.5000 0.0000 0.0000  2 Y 2.73
5 Cl 0.0000 0.0000 0.5000  2 Y 2.62

No. 4
A plane-wave DFT calculation with PBE was carried out for crystalline Hg2Sb2Rh at its relaxed geometry.

Calculated values
* crystal system: tetragonal
* E: -3.27 eV/atom

Unit cell a=6.7933 b=6.7933 c=5.9293 alpha=90.00 beta=90.00 gamma=90.00
Closest atoms and distances in Å follow each position.
Fractional positions:
1 Hg 0.1692 0.3308 0.0000  2 Sb 2.97, 1 Hg 3.25
2 Hg 0.3308 0.8308 0.0000  2 Sb 2.97, 1 Hg 3.25
3 Hg 0.6692 0.1692 0.0000  2 Sb 2.97, 1 Hg 3.25
4 Hg 0.8308 0.6692 0.0000  2 Sb 2.97, 1 Hg 3.25
5 Sb 0.1522 0.3478 0.5000  2 Rh 2.58
6 Sb 0.3478 0.8478 0.5000  2 Rh 2.58
7 Sb 0.6522 0.1522 0.5000  2 Rh 2.58
8 Sb 0.8478 0.6522 0.5000  2 Rh 2.58
9 Rh 0.0000 0.0000 0.5000  4 Sb 2.58
10 Rh 0.5000 0.5000 0.5000  4 Sb 2.58

No. 5
A plane-wave DFT calculation with PBE was carried out for crystalline Rb3PmTm2S6 at its relaxed geometry.

Calculated values
* crystal system: monoclinic
* E: -5.29 eV/atom

Unit cell a=7.0712 b=7.0712 c=8.0460 alpha=98.43 beta=98.43 gamma=120.00
Closest atoms and distances in Å follow each position.
Fractional positions:
1 Rb 0.0000 0.0000 0.0000  6 S 3.30-3.37
2 Rb 0.3348 0.6652 0.0000  6 S 3.31-3.37
3 Rb 0.6652 0.3348 0.0000  6 S 3.31-3.37
4 Pm 0.5000 0.5000 0.5000  6 S 2.84
5 Tm 0.1668 0.8332 0.5000  6 S 2.75
6 Tm 0.8332 0.1668 0.5000  6 S 2.75
7 S 0.0929 0.4360 0.3083  2 Tm 2.75, 1 Pm 2.84
8 S 0.2207 0.2207 0.6914  2 Tm 2.75, 1 Pm 2.84
9 S 0.4360 0.0929 0.3083  2 Tm 2.75, 1 Pm 2.84
10 S 0.5640 0.9071 0.6917  2 Tm 2.75, 1 Pm 2.84
11 S 0.7793 0.7793 0.3086  2 Tm 2.75, 1 Pm 2.84
12 S 0.9071 0.5640 0.6917  2 Tm 2.75, 1 Pm 2.84

No. 6
A plane-wave DFT calculation with PBE was carried out for crystalline BaPrBiAu at its relaxed geometry.

Calculated values
* crystal system: cubic
* E: -4.13 eV/atom
* DFT formation energy: -660 meV/atom

Unit cell a=5.7025 b=5.7025 c=5.7025 alpha=60.00 beta=60.00 gamma=60.00
Closest atoms and distances in Å follow each position.
Fractional positions:
1 Ba 0.0000 0.0000 0.0000  4 Au 3.49, 4 Bi 3.49
2 Pr 0.5000 0.5000 0.5000  4 Bi 3.49, 4 Au 3.49
3 Bi 0.2500 0.2500 0.2500  4 Pr 3.49, 4 Ba 3.49
4 Au 0.7500 0.7500 0.7500  4 Pr 3.49, 4 Ba 3.49

No. 7
A plane-wave DFT calculation with PBE was carried out for crystalline CeHfPt at its relaxed geometry.

Calculated values
* crystal system: trigonal
* ΔE to the lowest computed polymorph: 241 meV per atom
* E: -7.81 eV/atom
* DFT formation energy: -502 meV/atom

Unit cell a=4.5178 b=4.5178 c=4.1438 alpha=90.00 beta=90.00 gamma=120.00
Closest atoms and distances in Å follow each position.
Fractional positions:
1 Ce 0.0000 0.0000 0.0000  6 Pt 3.16-3.51, 6 Hf 3.29-3.37
2 Hf 0.3333 0.6667 0.5160  3 Pt 2.63
3 Pt 0.6667 0.3333 0.4323  3 Hf 2.63

No. 8
A plane-wave DFT calculation with PBE was carried out for crystalline PuPaAl4 at its relaxed geometry.

Calculated values
* crystal system: cubic
* E: -6.83 eV/atom
* DFT formation energy: -364 meV/atom

Unit cell a=5.5035 b=5.5035 c=5.5035 alpha=60.00 beta=60.00 gamma=60.00
Closest atoms and distances in Å follow each position.
Fractional positions:
1 Pu 0.0000 0.0000 0.0000  12 Al 3.23, 4 Pa 3.37
2 Pa 0.7500 0.7500 0.7500  12 Al 3.23, 4 Pu 3.37
3 Al 0.3749 0.3749 0.3749  6 Al 2.75
4 Al 0.3749 0.3749 0.8752  6 Al 2.75
5 Al 0.3749 0.8752 0.3749  6 Al 2.75
6 Al 0.8752 0.3749 0.3749  6 Al 2.75

No. 9
A plane-wave DFT calculation with PBE was carried out for crystalline TbScUO6 at its relaxed geometry.

Calculated values
* crystal system: trigonal
* E: -9.14 eV/atom

Unit cell a=5.5637 b=5.5637 c=9.5821 alpha=90.00 beta=90.00 gamma=120.00
Closest atoms and distances in Å follow each position.
Fractional positions:
1 Tb 0.0000 0.0000 0.0000  6 O 2.34
2 Tb 0.0000 0.0000 0.5000  6 O 2.34
3 Sc 0.3333 0.6667 0.2500  6 O 2.13
4 Sc 0.6667 0.3333 0.7500  6 O 2.13
5 U 0.3333 0.6667 0.7500  6 O 2.09
6 U 0.6667 0.3333 0.2500  6 O 2.09
7 O 0.0045 0.3514 0.6370  1 U 2.09, 1 Sc 2.13, 1 Tb 2.34
8 O 0.0045 0.6531 0.8630  1 U 2.09, 1 Sc 2.13, 1 Tb 2.34
9 O 0.3469 0.3514 0.8630  1 U 2.09, 1 Sc 2.13, 1 Tb 2.34
10 O 0.3469 0.9955 0.6370  1 U 2.09, 1 Sc 2.13, 1 Tb 2.34
11 O 0.3514 0.0045 0.1370  1 U 2.09, 1 Sc 2.13, 1 Tb 2.34
12 O 0.3514 0.3469 0.3630  1 U 2.09, 1 Sc 2.13, 1 Tb 2.34
13 O 0.6486 0.6531 0.6370  1 U 2.09, 1 Sc 2.13, 1 Tb 2.34
14 O 0.6486 0.9955 0.8630  1 U 2.09, 1 Sc 2.13, 1 Tb 2.34
15 O 0.6531 0.0045 0.3630  1 U 2.09, 1 Sc 2.13, 1 Tb 2.34
16 O 0.6531 0.6486 0.1370  1 U 2.09, 1 Sc 2.13, 1 Tb 2.34
17 O 0.9955 0.3469 0.1370  1 U 2.09, 1 Sc 2.13, 1 Tb 2.34
18 O 0.9955 0.6486 0.3630  1 U 2.09, 1 Sc 2.13, 1 Tb 2.34

No. 10
A plane-wave DFT calculation with PBE was carried out for crystalline CaLaZn at its relaxed geometry.

Calculated values
* crystal system: tetragonal
* ΔE to the lowest computed polymorph: 0 meV per atom
* E: -2.91 eV/atom
* DFT formation energy: -176 meV/atom

Unit cell a=7.2251 b=7.2251 c=7.2251 alpha=150.33 beta=150.33 gamma=42.46
Closest atoms and distances in Å follow each position.
Fractional positions:
1 Ca 0.0000 0.0000 0.0000  4 Zn 3.20
2 La 0.2711 0.2711 0.0000  4 Zn 3.18
3 Zn 0.6363 0.6363 0.0000  4 La 3.18, 4 Ca 3.20

No. 11
A plane-wave DFT calculation with PBE was carried out for crystalline CsK2Cl3 at its relaxed geometry.

Calculated values
* crystal system: tetragonal
* ΔE to the lowest computed polymorph: 9 meV per atom
* E: -3.36 eV/atom

Unit cell a=10.4564 b=10.4564 c=10.4564 alpha=153.89 beta=153.89 gamma=37.27
Closest atoms and distances in Å follow each position.
Fractional positions:
1 Cs 0.0000 0.0000 0.0000  6 Cl 3.34-3.42
2 K 0.3304 0.3304 0.0000  6 Cl 3.12-3.36
3 K 0.6696 0.6696 0.0000  6 Cl 3.12-3.36
4 Cl 0.1728 0.1728 0.0000  5 K 3.12-3.34, 1 Cs 3.42
5 Cl 0.5000 0.5000 0.0000  4 Cs 3.34, 2 K 3.36
6 Cl 0.8272 0.8272 0.0000  5 K 3.12-3.34, 1 Cs 3.42

No. 12
A plane-wave DFT calculation with PBE was carried out for crystalline LaSiPt3 at its relaxed geometry.

Calculated values
* crystal system: cubic
* ΔE to the lowest computed polymorph: 2263 meV per atom
* E: -4.53 eV/atom

Unit cell a=5.2204 b=5.2204 c=5.2204 alpha=90.00 beta=90.00 gamma=90.00
Closest atoms and distances in Å follow each position.
Fractional positions:
1 La 0.0000 0.0000 0.0000  6 Pt 2.61
2 Si 0.5000 0.5000 0.5000  12 Pt 3.69
3 Pt 0.0000 0.0000 0.5000  2 La 2.61
4 Pt 0.0000 0.5000 0.0000  2 La 2.61
5 Pt 0.5000 0.0000 0.0000  2 La 2.61

> Among the records above, which one has the highest E?

CaLaZn